PBE with a Hubbard U PaTaCrO6, relaxed; VASP energy = -9.219 eV/atom; Fermi-level density of states = 3.7 states/eV/f.u.
1.0
5.5594 0.0000 0.0000
-2.7797 4.8146 0.0000
0.0000 0.0000 8.9291
Pa Ta Cr O
2 2 2 12
direct
0.3333 0.6667 0.2500
0.6667 0.3333 0.7500
0.3333 0.6667 0.7500
0.6667 0.3333 0.2500
0.0000 0.0000 0.0000
0.0000 0.0000 0.5000
0.0246 0.3583 0.6319
0.0246 0.6663 0.8681
0.3337 0.3583 0.8681
0.3337 0.9754 0.6319
0.3583 0.0246 0.1319
0.3583 0.3337 0.3681
0.6417 0.6663 0.6319
0.6417 0.9754 0.8681
0.6663 0.0246 0.3681
0.6663 0.6417 0.1319
0.9754 0.3337 0.1319
0.9754 0.6417 0.3681